A relaxed Fe4O7F crystal, computed with PBE with a Hubbard U.

Geometry as POSCAR:
```
Fe4O7F
1.0
6.024 0.000 0.000
0.000 3.211 3.317
0.000 -3.211 3.317
Fe O F
4 7 1
direct
0.000 0.000 0.000 Fe
0.242 0.503 0.503 Fe
0.500 0.976 0.976 Fe
0.758 0.503 0.503 Fe
0.000 0.308 0.308 O
0.000 0.698 0.698 O
0.253 0.188 0.801 O
0.253 0.801 0.188 O
0.500 0.677 0.677 O
0.747 0.188 0.801 O
0.747 0.801 0.188 O
0.500 0.294 0.294 F
```

Output
Its space group is No. 38. The electronic total energy is -6.13 eV/atom.